Record 1
Crystalline Tl4IBr3 at its relaxed geometry. Source: the Alexandria database, functional PBE-GGA.

CIF file:
```
data_Tl4IBr3
_space_group_name_H-M_alt 'P m n 21'
_space_group_IT_number 31
_cell_length_a 11.719
_cell_length_b 9.802
_cell_length_c 6.830
_cell_angle_alpha 90.00
_cell_angle_beta 90.00
_cell_angle_gamma 90.00
loop_
_space_group_symop_operation_xyz
'x,y,z'
'-x+1/2,-y,z+1/2'
'-x,y,z'
'x+1/2,-y,z+1/2'
loop_
_atom_site_label
_atom_site_type_symbol
_atom_site_fract_x
_atom_site_fract_y
_atom_site_fract_z
_atom_site_occupancy
Tl1 Tl 0.000 0.169 0.000 1
Tl2 Tl 0.000 0.820 0.501 1
Tl3 Tl 0.239 0.662 0.001 1
I1 I 0.000 0.172 0.500 1
Br1 Br 0.000 0.834 0.001 1
Br2 Br 0.249 0.330 0.001 1
```

Properties
Calculated volume in A^3/atom: 49.04
Fermi-level density of states in states/eV/f.u.: 0.00
Magnetic moment in μB/atom: 0.000
Polymorph energy (0 for the lowest one) in meV per atom: 32.6

---

Record 2
Crystalline Hg2PtBr at its relaxed geometry. Source: the Alexandria database, functional PBE-GGA.

CIF file:
```
data_Hg2PtBr
_space_group_name_H-M_alt 'P m m m'
_space_group_IT_number 47
_cell_length_a 3.237
_cell_length_b 4.604
_cell_length_c 6.188
_cell_angle_alpha 90.00
_cell_angle_beta 90.00
_cell_angle_gamma 90.00
loop_
_space_group_symop_operation_xyz
'x,y,z'
'-x,-y,-z'
'-x,-y,z'
'x,y,-z'
'x,-y,-z'
'-x,y,z'
'-x,y,-z'
'x,-y,z'
loop_
_atom_site_label
_atom_site_type_symbol
_atom_site_fract_x
_atom_site_fract_y
_atom_site_fract_z
_atom_site_occupancy
Hg1 Hg 0.000 0.000 0.000 1
Hg2 Hg 0.500 0.500 0.000 1
Pt1 Pt 0.000 0.500 0.500 1
Br1 Br 0.500 0.000 0.500 1
```

Properties
Calculated volume in A^3/atom: 23.05
Fermi-level density of states in states/eV/f.u.: 1.43
Magnetic moment in μB/atom: 0.000
Polymorph energy (0 for the lowest one) in meV per atom: 348.4

---

Record 3
Crystalline Ac4Ga2O at its relaxed geometry. Source: the Alexandria database, functional PBE-GGA.

CIF file:
```
data_Ac4Ga2O
_space_group_name_H-M_alt 'P 1 21/m 1'
_space_group_IT_number 11
_cell_length_a 7.291
_cell_length_b 7.510
_cell_length_c 9.019
_cell_angle_alpha 90.00
_cell_angle_beta 107.93
_cell_angle_gamma 90.00
loop_
_space_group_symop_operation_xyz
'x,y,z'
'-x,-y,-z'
'-x,y+1/2,-z'
'x,-y+1/2,z'
loop_
_atom_site_label
_atom_site_type_symbol
_atom_site_fract_x
_atom_site_fract_y
_atom_site_fract_z
_atom_site_occupancy
Ac1 Ac 0.005 0.004 0.245 1
Ac2 Ac 0.422 0.250 0.587 1
Ac3 Ac 0.438 0.250 0.128 1
Ga1 Ga 0.207 0.750 0.547 1
Ga2 Ga 0.235 0.750 0.064 1
O1 O 0.244 0.250 0.309 1
```

Properties
Calculated volume in A^3/atom: 33.56
Fermi-level density of states in states/eV/f.u.: 5.94
Magnetic moment in μB/atom: 0.095
Polymorph energy (0 for the lowest one) in meV per atom: 0.0

---

Copy entry 3 word for word.
Crystalline Ac4Ga2O at its relaxed geometry. Source: the Alexandria database, functional PBE-GGA.

CIF file:
```
data_Ac4Ga2O
_space_group_name_H-M_alt 'P 1 21/m 1'
_space_group_IT_number 11
_cell_length_a 7.291
_cell_length_b 7.510
_cell_length_c 9.019
_cell_angle_alpha 90.00
_cell_angle_beta 107.93
_cell_angle_gamma 90.00
loop_
_space_group_symop_operation_xyz
'x,y,z'
'-x,-y,-z'
'-x,y+1/2,-z'
'x,-y+1/2,z'
loop_
_atom_site_label
_atom_site_type_symbol
_atom_site_fract_x
_atom_site_fract_y
_atom_site_fract_z
_atom_site_occupancy
Ac1 Ac 0.005 0.004 0.245 1
Ac2 Ac 0.422 0.250 0.587 1
Ac3 Ac 0.438 0.250 0.128 1
Ga1 Ga 0.207 0.750 0.547 1
Ga2 Ga 0.235 0.750 0.064 1
O1 O 0.244 0.250 0.309 1
```

Properties
Calculated volume in A^3/atom: 33.56
Fermi-level density of states in states/eV/f.u.: 5.94
Magnetic moment in μB/atom: 0.095
Polymorph energy (0 for the lowest one) in meV per atom: 0.0

---

> Which of these has the highest Fermi-level density of states?

Ac4Ga2O